Entry 1:
Material: KTb2SmTe4
Method: DFT, PBE
State: relaxed

The structure belongs to space group P2/m (No. 10); the cell edges are 7.827, 4.417 and 7.851 Å and the angles 90.00°, 108.40° and 90.00°. The inequivalent atoms are K at (0.000, 0.000, 0.000), Tb at (0.000, 0.500, 0.500), Tb at (0.500, 0.000, 0.500), Sm at (0.500, 0.500, 0.000), Te at (0.252, 0.000, 0.740) and Te at (0.264, 0.500, 0.268).

As for the formation energy (no corrections): -1.34 eV per atom.

***

Entry 2:
Material: K3TbSm2Te6
Method: DFT, PBE
State: relaxed

The structure belongs to space group C2/m (No. 12); the cell edges are 7.883, 13.655 and 8.660 Å and the angles 90.00°, 107.67° and 90.00°. The inequivalent atoms are K at (0.000, 0.000, 0.000), K at (0.000, 0.332, 0.000), Tb at (0.000, 0.500, 0.500), Sm at (0.000, 0.166, 0.500), Te at (0.235, 0.335, 0.711) and Te at (0.241, 0.000, 0.712).

As for the formation energy (no corrections): -1.41 eV per atom.

***

Entry 3:
Material: K4TbSm3Te8
Method: DFT, PBE
State: relaxed

The structure belongs to space group R-3m (No. 166, hexagonal axes); the cell edges are 9.1134, 9.1134 and 24.7497 Å and the angles 90.00°, 90.00° and 120.00°. The inequivalent atoms are K at (0.0000, 0.0000, 0.0000), K at (0.0000, 0.5000, 0.0000), Tb at (0.0000, 0.0000, 0.5000), Sm at (0.0000, 0.5000, 0.5000), Te at (0.0000, 0.0000, 0.2377) and Te at (0.0035, 0.5017, 0.2371).

As for the formation energy (no corrections): -1.41 eV per atom.

***

Entry 4:
Material: KSm4Te5
Method: DFT, PBE
State: relaxed

The structure belongs to space group C2/m (No. 12); the cell edges are 15.183, 4.461 and 11.175 Å and the angles 90.00°, 120.09° and 90.00°. The inequivalent atoms are K at (0.000, 0.000, 0.000), Sm at (0.093, 0.500, 0.401), Sm at (0.199, 0.000, 0.786), Te at (0.000, 0.000, 0.500), Te at (0.112, 0.500, 0.895) and Te at (0.201, 0.000, 0.313).

As for the formation energy (no corrections): -1.38 eV per atom.

***

Entry 5:
Material: KSm5Te6
Method: DFT, PBE
State: relaxed

The structure belongs to space group C2/m (No. 12); the cell edges are 7.774, 13.459 and 7.840 Å and the angles 90.00°, 109.36° and 90.00°. The inequivalent atoms are K at (0.000, 0.000, 0.000), Sm at (0.000, 0.158, 0.500), Sm at (0.000, 0.334, 0.000), Sm at (0.000, 0.500, 0.500), Te at (0.241, 0.500, 0.248) and Te at (0.242, 0.328, 0.741).

As for the formation energy (no corrections): -1.37 eV per atom.

***

Entry 6:
Material: KSmTe
Method: DFT, PBE
State: relaxed

The structure belongs to space group P4/nmm (No. 129, origin choice 2); the cell edges are 4.785, 4.785 and 9.448 Å and the angles 90.00°, 90.00° and 90.00°. The inequivalent atoms are K at (0.250, 0.250, 0.138), Sm at (0.250, 0.750, 0.500) and Te at (0.250, 0.250, 0.743).

As for the formation energy (no corrections): -0.82 eV per atom.